(1)
VASP calculation (GGA-PBE) on a relaxed structure of Rb2Na2La.

CIF file:
```
data_Rb2Na2La
_space_group_name_H-M_alt 'P 4/m b m'
_space_group_IT_number 127
_space_group_name_Hall '-P 4 2ab'
_cell_length_a 10.705
_cell_length_b 10.705
_cell_length_c 4.062
_cell_angle_alpha 90.00
_cell_angle_beta 90.00
_cell_angle_gamma 90.00
loop_
_atom_site_label
_atom_site_type_symbol
_atom_site_fract_x
_atom_site_fract_y
_atom_site_fract_z
Rb1 Rb 0.159 0.341 0.000
Na1 Na 0.143 0.643 0.500
La1 La 0.000 0.000 0.500
```

Output
Calculated volume ... 46.6 Å³/atom
DFT total energy ... -15.1 eV/cell
N(E_F) ... 4.36 states/eV/f.u.
ΔE_f ... 386 meV/atom


(2)
VASP calculation (GGA-PBE) on a relaxed structure of AlNi4Ru.

CIF file:
```
data_AlNi4Ru
_space_group_name_H-M_alt 'F -4 3 m'
_space_group_IT_number 216
_space_group_name_Hall 'F -4 2 3'
_cell_length_a 6.620
_cell_length_b 6.620
_cell_length_c 6.620
_cell_angle_alpha 90.00
_cell_angle_beta 90.00
_cell_angle_gamma 90.00
loop_
_atom_site_label
_atom_site_type_symbol
_atom_site_fract_x
_atom_site_fract_y
_atom_site_fract_z
Al1 Al 0.000 0.000 0.000
Ni1 Ni 0.125 0.125 0.375
Ru1 Ru 0.250 0.250 0.750
```

Output
Calculated volume ... 12.1 Å³/atom
DFT total energy ... -145.9 eV/cell
N(E_F) ... 7.38 states/eV/f.u.
ΔE_f ... -56 meV/atom


(3)
VASP calculation (GGA-PBE) on a relaxed structure of TlTePd2.

CIF file:
```
data_TlTePd2
_space_group_name_H-M_alt 'I -4 2 d'
_space_group_IT_number 122
_space_group_name_Hall 'I -4 2bw'
_cell_length_a 4.791
_cell_length_b 4.791
_cell_length_c 16.950
_cell_angle_alpha 90.00
_cell_angle_beta 90.00
_cell_angle_gamma 90.00
loop_
_atom_site_label
_atom_site_type_symbol
_atom_site_fract_x
_atom_site_fract_y
_atom_site_fract_z
Tl1 Tl 0.000 0.000 0.000
Te1 Te 0.000 0.000 0.500
Pd1 Pd 0.197 0.250 0.625
```

Output
Calculated volume ... 24.3 Å³/atom
DFT total energy ... -65.3 eV/cell
ΔE_f (raw) ... -110.9 meV/atom
N(E_F) ... 2.60 states/eV/f.u.


(4)
VASP calculation (GGA-PBE) on a relaxed structure of Cs2HfSb3O12.

CIF file:
```
data_Cs2HfSb3O12
_space_group_name_H-M_alt 'R -3 m'
_space_group_IT_number 166
_space_group_name_Hall '-R 3 2"'
_cell_length_a 7.4612
_cell_length_b 7.4612
_cell_length_c 18.6593
_cell_angle_alpha 90.00
_cell_angle_beta 90.00
_cell_angle_gamma 120.00
loop_
_atom_site_label
_atom_site_type_symbol
_atom_site_fract_x
_atom_site_fract_y
_atom_site_fract_z
Cs1 Cs 0.0000 0.0000 0.1252
Hf1 Hf 0.0000 0.0000 0.5000
Sb1 Sb 0.0000 0.5000 0.0000
O1 O 0.0689 0.5345 0.3559
O2 O 0.0707 0.5354 0.1029
```

Output
Calculated volume ... 16.7 Å³/atom
DFT total energy ... -337.8 eV/cell
ΔE_f (raw) ... -1615.2 meV/atom
N(E_F) ... 10.13 states/eV/f.u.


(5)
VASP calculation (GGA-PBE) on a relaxed structure of MnNi2Rh2.

CIF file:
```
data_MnNi2Rh2
_space_group_name_H-M_alt 'P 63/m m c'
_space_group_IT_number 194
_space_group_name_Hall '-P 6c 2c'
_cell_length_a 4.0869
_cell_length_b 4.0869
_cell_length_c 9.3834
_cell_angle_alpha 90.00
_cell_angle_beta 90.00
_cell_angle_gamma 120.00
loop_
_atom_site_label
_atom_site_type_symbol
_atom_site_fract_x
_atom_site_fract_y
_atom_site_fract_z
Mn1 Mn 0.0000 0.0000 0.2500
Ni1 Ni 0.3333 0.6667 0.1073
Rh1 Rh 0.0000 0.0000 0.0000
Rh2 Rh 0.3333 0.6667 0.7500
```

Output
Calculated volume ... 13.6 Å³/atom
DFT total energy ... -67.5 eV/cell
N(E_F) ... 7.80 states/eV/f.u.
ΔE_f ... 338 meV/atom


(6)
VASP calculation (GGA-PBE) on a relaxed structure of CsCa3H.

CIF file:
```
data_CsCa3H
_space_group_name_H-M_alt 'P m -3 m'
_space_group_IT_number 221
_space_group_name_Hall '-P 4 2 3'
_cell_length_a 5.753
_cell_length_b 5.753
_cell_length_c 5.753
_cell_angle_alpha 90.00
_cell_angle_beta 90.00
_cell_angle_gamma 90.00
loop_
_atom_site_label
_atom_site_type_symbol
_atom_site_fract_x
_atom_site_fract_y
_atom_site_fract_z
Cs1 Cs 0.000 0.000 0.000
Ca1 Ca 0.000 0.500 0.500
H1 H 0.500 0.500 0.500
```

Output
Calculated volume ... 38.1 Å³/atom
DFT total energy ... -9.2 eV/cell
N(E_F) ... 7.65 states/eV/f.u.


(7)
VASP calculation (GGA-PBE) on a relaxed structure of BeRu2Br.

CIF file:
```
data_BeRu2Br
_space_group_name_H-M_alt 'P 1 m 1'
_space_group_IT_number 6
_space_group_name_Hall 'P -2y'
_cell_length_a 2.918
_cell_length_b 2.910
_cell_length_c 7.968
_cell_angle_alpha 90.00
_cell_angle_beta 91.47
_cell_angle_gamma 90.00
loop_
_atom_site_label
_atom_site_type_symbol
_atom_site_fract_x
_atom_site_fract_y
_atom_site_fract_z
Be1 Be 0.000 0.000 0.000
Ru1 Ru 0.025 0.000 0.354
Ru2 Ru 0.511 0.500 0.149
Br1 Br 0.044 0.500 0.616
```

Output
Calculated volume ... 16.9 Å³/atom
DFT total energy ... -22.7 eV/cell
ΔE_f (raw) ... 320.8 meV/atom
N(E_F) ... 3.03 states/eV/f.u.


(8)
VASP calculation (GGA-PBE) on a relaxed structure of Pm2SN.

CIF file:
```
data_Pm2SN
_space_group_name_H-M_alt 'R -3 m'
_space_group_IT_number 166
_space_group_name_Hall '-R 3 2"'
_cell_length_a 3.7495
_cell_length_b 3.7495
_cell_length_c 19.5032
_cell_angle_alpha 90.00
_cell_angle_beta 90.00
_cell_angle_gamma 120.00
loop_
_atom_site_label
_atom_site_type_symbol
_atom_site_fract_x
_atom_site_fract_y
_atom_site_fract_z
Pm1 Pm 0.0000 0.0000 0.2369
S1 S 0.0000 0.0000 0.0000
N1 N 0.0000 0.0000 0.5000
```

Output
Calculated volume ... 19.8 Å³/atom
DFT total energy ... -87.0 eV/cell
ΔE_f (raw) ... -1761.8 meV/atom
N(E_F) ... 1.12 states/eV/f.u.


(9)
VASP calculation (GGA-PBE) on a relaxed structure of Tb2TlSn.

CIF file:
```
data_Tb2TlSn
_space_group_name_H-M_alt 'A m m 2'
_space_group_IT_number 38
_space_group_name_Hall 'A 2 -2'
_cell_length_a 4.338
_cell_length_b 4.576
_cell_length_c 11.501
_cell_angle_alpha 90.00
_cell_angle_beta 90.00
_cell_angle_gamma 90.00
loop_
_atom_site_label
_atom_site_type_symbol
_atom_site_fract_x
_atom_site_fract_y
_atom_site_fract_z
Tb1 Tb 0.000 0.000 0.000
Tb2 Tb 0.500 0.000 0.270
Tl1 Tl 0.000 0.000 0.729
Sn1 Sn 0.500 0.000 0.545
```

Output
Calculated volume ... 28.5 Å³/atom
DFT total energy ... -35.6 eV/cell
N(E_F) ... 3.46 states/eV/f.u.
ΔE_f ... -547 meV/atom


(10)
VASP calculation (GGA-PBE) on a relaxed structure of AcPr12Y6.

CIF file:
```
data_AcPr12Y6
_space_group_name_H-M_alt 'R -3 m'
_space_group_IT_number 166
_space_group_name_Hall '-R 3 2"'
_cell_length_a 13.7470
_cell_length_b 13.7470
_cell_length_c 12.7620
_cell_angle_alpha 90.00
_cell_angle_beta 90.00
_cell_angle_gamma 120.00
loop_
_atom_site_label
_atom_site_type_symbol
_atom_site_fract_x
_atom_site_fract_y
_atom_site_fract_z
Ac1 Ac 0.0000 0.0000 0.0000
Pr1 Pr 0.0000 0.2571 0.5000
Pr2 Pr 0.0915 0.1829 0.2606
Y1 Y 0.0378 0.5189 0.6219
```

Output
Calculated volume ... 36.6 Å³/atom
DFT total energy ... -290.5 eV/cell
N(E_F) ... 37.19 states/eV/f.u.
ΔE_f ... 180 meV/atom


(11)
VASP calculation (GGA-PBE) on a relaxed structure of Sm2Ta3Ge4.

CIF file:
```
data_Sm2Ta3Ge4
_space_group_name_H-M_alt 'P 1 21/c 1'
_space_group_IT_number 14
_space_group_name_Hall '-P 2ybc'
_cell_length_a 7.212
_cell_length_b 7.212
_cell_length_c 7.110
_cell_angle_alpha 90.00
_cell_angle_beta 109.46
_cell_angle_gamma 90.00
loop_
_atom_site_label
_atom_site_type_symbol
_atom_site_fract_x
_atom_site_fract_y
_atom_site_fract_z
Sm1 Sm 0.186 0.170 0.058
Ta1 Ta 0.257 0.672 0.247
Ta2 Ta 0.500 0.000 0.500
Ge1 Ge 0.088 0.541 0.860
Ge2 Ge 0.494 0.132 0.866
```

Output
Calculated volume ... 19.4 Å³/atom
DFT total energy ... -138.0 eV/cell
N(E_F) ... 4.36 states/eV/f.u.
ΔE_f ... -617 meV/atom


(12)
VASP calculation (GGA-PBE) on a relaxed structure of ReBCl3.

CIF file:
```
data_ReBCl3
_space_group_name_H-M_alt 'P m -3 m'
_space_group_IT_number 221
_space_group_name_Hall '-P 4 2 3'
_cell_length_a 4.232
_cell_length_b 4.232
_cell_length_c 4.232
_cell_angle_alpha 90.00
_cell_angle_beta 90.00
_cell_angle_gamma 90.00
loop_
_atom_site_label
_atom_site_type_symbol
_atom_site_fract_x
_atom_site_fract_y
_atom_site_fract_z
Re1 Re 0.000 0.000 0.000
B1 B 0.500 0.500 0.500
Cl1 Cl 0.000 0.500 0.500
```

Output
Calculated volume ... 15.2 Å³/atom
DFT total energy ... -16.6 eV/cell
ΔE_f (raw) ... 1610.5 meV/atom
N(E_F) ... 5.56 states/eV/f.u.


(13)
VASP calculation (GGA-PBE) on a relaxed structure of Er2Ga5Cu3.

CIF file:
```
data_Er2Ga5Cu3
_space_group_name_H-M_alt 'I b a m'
_space_group_IT_number 72
_space_group_name_Hall '-I 2 2c'
_cell_length_a 10.464
_cell_length_b 11.490
_cell_length_c 5.772
_cell_angle_alpha 90.00
_cell_angle_beta 90.00
_cell_angle_gamma 90.00
loop_
_atom_site_label
_atom_site_type_symbol
_atom_site_fract_x
_atom_site_fract_y
_atom_site_fract_z
Er1 Er 0.244 0.129 0.000
Ga1 Ga 0.000 0.000 0.250
Ga2 Ga 0.000 0.257 0.250
Ga3 Ga 0.147 0.389 0.000
Cu1 Cu 0.000 0.500 0.250
Cu2 Cu 0.129 0.129 0.500
```

Output
Calculated volume ... 17.4 Å³/atom
DFT total energy ... -164.4 eV/cell
N(E_F) ... 3.05 states/eV/f.u.
ΔE_f ... -454 meV/atom


(14)
VASP calculation (GGA-PBE) on a relaxed structure of NaUCuO4.

CIF file:
```
data_NaUCuO4
_space_group_name_H-M_alt 'I m m a'
_space_group_IT_number 74
_space_group_name_Hall '-I 2b 2'
_cell_length_a 6.220
_cell_length_b 6.924
_cell_length_c 9.562
_cell_angle_alpha 90.00
_cell_angle_beta 90.00
_cell_angle_gamma 90.00
loop_
_atom_site_label
_atom_site_type_symbol
_atom_site_fract_x
_atom_site_fract_y
_atom_site_fract_z
Na1 Na 0.000 0.250 0.168
U1 U 0.000 0.000 0.500
Cu1 Cu 0.250 0.250 0.750
O1 O 0.000 0.048 0.709
O2 O 0.208 0.250 0.474
```

Output
Calculated volume ... 14.7 Å³/atom
DFT total energy ... -206.9 eV/cell
ΔE_f (raw) ... -2171.6 meV/atom
N(E_F) ... 3.94 states/eV/f.u.


(15)
VASP calculation (GGA-PBE) on a relaxed structure of PrZn9Hg2.

CIF file:
```
data_PrZn9Hg2
_space_group_name_H-M_alt 'R -3 m'
_space_group_IT_number 166
_space_group_name_Hall '-R 3 2"'
_cell_length_a 5.4647
_cell_length_b 5.4647
_cell_length_c 24.9853
_cell_angle_alpha 90.00
_cell_angle_beta 90.00
_cell_angle_gamma 120.00
loop_
_atom_site_label
_atom_site_type_symbol
_atom_site_fract_x
_atom_site_fract_y
_atom_site_fract_z
Pr1 Pr 0.0000 0.0000 0.0000
Zn1 Zn 0.0000 0.0000 0.3329
Zn2 Zn 0.0000 0.0000 0.5000
Zn3 Zn 0.0043 0.5022 0.9146
Hg1 Hg 0.0000 0.0000 0.1373
```

Output
Calculated volume ... 17.9 Å³/atom
DFT total energy ... -53.8 eV/cell
N(E_F) ... 5.39 states/eV/f.u.
ΔE_f ... -90 meV/atom


(16)
VASP calculation (GGA-PBE) on a relaxed structure of Fe2PCl.

CIF file:
```
data_Fe2PCl
_space_group_name_H-M_alt 'I -4 2 d'
_space_group_IT_number 122
_space_group_name_Hall 'I -4 2bw'
_cell_length_a 5.063
_cell_length_b 5.063
_cell_length_c 10.049
_cell_angle_alpha 90.00
_cell_angle_beta 90.00
_cell_angle_gamma 90.00
loop_
_atom_site_label
_atom_site_type_symbol
_atom_site_fract_x
_atom_site_fract_y
_atom_site_fract_z
Fe1 Fe 0.237 0.250 0.125
P1 P 0.000 0.000 0.000
Cl1 Cl 0.000 0.000 0.500
```

Output
Calculated volume ... 16.1 Å³/atom
DFT total energy ... -94.2 eV/cell
ΔE_f (raw) ... 155.6 meV/atom
N(E_F) ... 3.90 states/eV/f.u.


(17)
VASP calculation (GGA-PBE) on a relaxed structure of BaSe2I2.

CIF file:
```
data_BaSe2I2
_space_group_name_H-M_alt 'P 4/m b m'
_space_group_IT_number 127
_space_group_name_Hall '-P 4 2ab'
_cell_length_a 8.400
_cell_length_b 8.400
_cell_length_c 5.207
_cell_angle_alpha 90.00
_cell_angle_beta 90.00
_cell_angle_gamma 90.00
loop_
_atom_site_label
_atom_site_type_symbol
_atom_site_fract_x
_atom_site_fract_y
_atom_site_fract_z
Ba1 Ba 0.000 0.000 0.000
Se1 Se 0.095 0.405 0.000
I1 I 0.238 0.738 0.500
```

Output
Calculated volume ... 36.7 Å³/atom
DFT total energy ... -31.9 eV/cell
ΔE_f (raw) ... -794.8 meV/atom
N(E_F) ... 0.00 states/eV/f.u.


(18)
VASP calculation (GGA-PBE) on a relaxed structure of K3SrZn.

CIF file:
```
data_K3SrZn
_space_group_name_H-M_alt 'P m -3 m'
_space_group_IT_number 221
_space_group_name_Hall '-P 4 2 3'
_cell_length_a 6.670
_cell_length_b 6.670
_cell_length_c 6.670
_cell_angle_alpha 90.00
_cell_angle_beta 90.00
_cell_angle_gamma 90.00
loop_
_atom_site_label
_atom_site_type_symbol
_atom_site_fract_x
_atom_site_fract_y
_atom_site_fract_z
K1 K 0.000 0.000 0.500
Sr1 Sr 0.500 0.500 0.500
Zn1 Zn 0.000 0.000 0.000
```

Output
Calculated volume ... 59.3 Å³/atom
DFT total energy ... -5.2 eV/cell
N(E_F) ... 3.64 states/eV/f.u.
ΔE_f ... 210 meV/atom


(19)
VASP calculation (GGA-PBE) on a relaxed structure of BaLi2Sb2.

CIF file:
```
data_BaLi2Sb2
_space_group_name_H-M_alt 'I 4/m m m'
_space_group_IT_number 139
_space_group_name_Hall '-I 4 2'
_cell_length_a 5.134
_cell_length_b 5.134
_cell_length_c 10.760
_cell_angle_alpha 90.00
_cell_angle_beta 90.00
_cell_angle_gamma 90.00
loop_
_atom_site_label
_atom_site_type_symbol
_atom_site_fract_x
_atom_site_fract_y
_atom_site_fract_z
Ba1 Ba 0.000 0.000 0.000
Li1 Li 0.000 0.000 0.357
Sb1 Sb 0.000 0.500 0.250
```

Output
Calculated volume ... 28.4 Å³/atom
DFT total energy ... -33.8 eV/cell
ΔE_f (raw) ... -583.9 meV/atom
N(E_F) ... 2.05 states/eV/f.u.


(20)
VASP calculation (GGA-PBE) on a relaxed structure of KRb2NpTe4.

CIF file:
```
data_KRb2NpTe4
_space_group_name_H-M_alt 'P 1 2/m 1'
_space_group_IT_number 10
_space_group_name_Hall '-P 2y'
_cell_length_a 8.583
_cell_length_b 4.698
_cell_length_c 8.797
_cell_angle_alpha 90.00
_cell_angle_beta 107.66
_cell_angle_gamma 90.00
loop_
_atom_site_label
_atom_site_type_symbol
_atom_site_fract_x
_atom_site_fract_y
_atom_site_fract_z
K1 K 0.000 0.000 0.000
Rb1 Rb 0.000 0.500 0.500
Rb2 Rb 0.500 0.000 0.500
Np1 Np 0.500 0.500 0.000
Te1 Te 0.285 0.500 0.203
Te2 Te 0.300 0.000 0.805
```

Output
Calculated volume ... 42.2 Å³/atom
DFT total energy ... -35.2 eV/cell
ΔE_f (raw) ... -838.5 meV/atom
N(E_F) ... 5.17 states/eV/f.u.